<A>
The following is a DFT calculation (PBE) of crystalline CdSb3Cl at its relaxed geometry.

Unit cell a=5.545 b=5.545 c=5.545 alpha=90.00 beta=90.00 gamma=90.00
Fractional coordinates of all 5 atoms:
1 Sb 0.000 0.500 0.000
2 Sb 0.000 0.000 0.500
3 Sb 0.500 0.000 0.000
4 Cl 0.500 0.500 0.500
5 Cd 0.000 0.000 0.000

Density in Mg/m³: 5.00

---

<B>
The following is a DFT calculation (PBE) of crystalline CdSb3Cl at its relaxed geometry.

Unit cell a=5.371 b=5.371 c=5.371 alpha=90.00 beta=90.00 gamma=90.00
Fractional coordinates of all 5 atoms:
1 Sb 0.000 0.500 0.000
2 Sb 0.000 0.000 0.500
3 Sb 0.500 0.000 0.000
4 Cl 0.000 0.000 0.000
5 Cd 0.500 0.500 0.500

Density in Mg/m³: 5.50

---

Most stable structure, least stable structure: <A>, <B>.

---

<A>
The following is a DFT calculation (PBE) of crystalline Sc2CdCl at its relaxed geometry.

Unit cell a=5.187 b=5.187 c=5.187 alpha=60.00 beta=60.00 gamma=60.00
Fractional coordinates of all 4 atoms:
1 Cd 0.500 0.500 0.500
2 Cl 0.250 0.250 0.250
3 Sc 0.000 0.000 0.000
4 Sc 0.750 0.750 0.750

Density in Mg/m³: 4.00

---

<B>
The following is a DFT calculation (PBE) of crystalline Sc2CdCl at its relaxed geometry.

Unit cell a=5.246 b=5.246 c=3.173 alpha=84.78 beta=84.78 gamma=90.88
Fractional coordinates of all 4 atoms:
1 Cd 0.500 0.000 0.500
2 Cl 0.000 0.500 0.500
3 Sc 0.000 0.000 0.000
4 Sc 0.500 0.500 0.000

Density in Mg/m³: 4.56

---

Most stable structure, least stable structure: <B>, <A>.

---

<A>
The following is a DFT calculation (PBE) of crystalline Sc2CdCl at its relaxed geometry.

Unit cell a=9.990 b=9.990 c=9.990 alpha=19.54 beta=19.54 gamma=19.54
Fractional coordinates of all 4 atoms:
1 Cd 0.506 0.506 0.506
2 Cl 0.732 0.732 0.732
3 Sc 0.007 0.007 0.007
4 Sc 0.255 0.255 0.255

Density in Mg/m³: 4.05

---

<B>
The following is a DFT calculation (PBE) of crystalline Sc2CdCl at its relaxed geometry.

Unit cell a=4.978 b=4.978 c=4.978 alpha=60.00 beta=60.00 gamma=60.00
Fractional coordinates of all 4 atoms:
1 Sc 0.250 0.250 0.250
2 Sc 0.750 0.750 0.750
3 Cl 0.000 0.000 0.000
4 Cd 0.500 0.500 0.500

Density in Mg/m³: 4.53

---

<C>
The following is a DFT calculation (PBE) of crystalline Sc2CdCl at its relaxed geometry.

Unit cell a=3.338 b=3.575 c=7.656 alpha=89.97 beta=90.00 gamma=90.00
Fractional coordinates of all 4 atoms:
1 Cd 0.500 0.250 0.250
2 Cl 0.500 0.750 0.750
3 Sc 0.000 0.750 0.017
4 Sc 0.000 0.750 0.483

Density in Mg/m³: 4.32

---

Most stable structure, least stable structure: <C>, <B>.

---

<A>
The following is a DFT calculation (PBE) of crystalline ScCdCl at its relaxed geometry.

Unit cell a=3.428 b=3.428 c=7.643 alpha=90.00 beta=90.00 gamma=120.00
Fractional coordinates of all 3 atoms:
1 Cd 0.000 0.000 0.936
2 Cl 0.333 0.667 0.423
3 Sc 0.667 0.333 0.641

Density in Mg/m³: 4.12

---

<B>
The following is a DFT calculation (PBE) of crystalline ScCdCl at its relaxed geometry.

Unit cell a=4.509 b=4.509 c=3.948 alpha=90.00 beta=90.00 gamma=120.00
Fractional coordinates of all 3 atoms:
1 Cd 0.000 0.000 0.000
2 Cl 0.667 0.333 0.500
3 Sc 0.333 0.667 0.500

Density in Mg/m³: 4.61

---

Most stable structure, least stable structure: <A>, <B>.

---

<A>
The following is a DFT calculation (PBE) of crystalline ScCdCl at its relaxed geometry.

Unit cell a=7.698 b=7.698 c=7.698 alpha=155.80 beta=155.80 gamma=34.49
Fractional coordinates of all 3 atoms:
1 Cd 0.037 0.037 0.000
2 Cl 0.282 0.282 0.000
3 Sc 0.681 0.681 0.000

Density in Mg/m³: 4.18

---

<B>
The following is a DFT calculation (PBE) of crystalline ScCdCl at its relaxed geometry.

Unit cell a=3.380 b=3.404 c=15.085 alpha=90.00 beta=90.00 gamma=119.76
Fractional coordinates of all 6 atoms:
1 Cd 0.548 0.095 0.000
2 Cd 0.292 0.585 0.500
3 Sc 0.623 0.246 0.340
4 Sc 0.623 0.246 0.660
5 Cl 0.290 0.581 0.772
6 Cl 0.290 0.581 0.228

Density in Mg/m³: 4.25

---

Most stable structure, least stable structure: <B>, <A>.

---

<A>
The following is a DFT calculation (PBE) of crystalline ScCdCl at its relaxed geometry.

Unit cell a=4.677 b=4.677 c=4.677 alpha=60.00 beta=60.00 gamma=60.00
Fractional coordinates of all 3 atoms:
1 Cd 0.500 0.500 0.500
2 Cl 0.250 0.250 0.250
3 Sc 0.000 0.000 0.000

Density in Mg/m³: 4.42

---

<B>
The following is a DFT calculation (PBE) of crystalline ScCdCl at its relaxed geometry.

Unit cell a=8.152 b=7.914 c=3.259 alpha=82.44 beta=74.22 gamma=23.35
Fractional coordinates of all 3 atoms:
1 Cd 0.028 0.028 0.972
2 Cl 0.293 0.293 0.707
3 Sc 0.679 0.679 0.321

Density in Mg/m³: 4.20

---

Most stable structure, least stable structure: <B>, <A>.